Entry 1:
## PrDyY2Th (PBE)

Data for crystalline PrDyY2Th at its relaxed geometry.

extended XYZ file:
```
10
Lattice="8.6672 0.0000 0.0000 0.0000 6.4721 0.0000 -1.0184 0.0000 6.2572" Properties=species:S:1:pos:R:3 pbc="T T T"
Pr 0.0000 0.0000 0.0000
Pr -0.5092 0.0000 3.1286
Dy 4.0790 1.1079 1.5643
Dy 3.5698 5.3642 4.6929
Y 2.0146 2.0516 4.3859
Y 2.5238 4.4205 1.2573
Y 5.1250 2.0516 5.0000
Y 5.6342 4.4205 1.8713
Th -0.2546 2.9184 1.5643
Th -0.7638 3.5537 4.6929
```

Results
**Space group**: No. 13
**Crystal system**: monoclinic
**D(E_F)**: 14.57 states/eV/cell

Entry 2:
## Pr2Dy2Y4Th (PBE)

Data for crystalline Pr2Dy2Y4Th at its relaxed geometry.

extended XYZ file:
```
9
Lattice="9.4429 -1.8142 0.0000 9.4429 1.8142 0.0000 -4.1930 0.0000 8.6575" Properties=species:S:1:pos:R:3 pbc="T T T"
Pr 3.0871 0.0000 0.0055
Pr 11.6058 0.0000 8.6520
Dy 5.2434 0.0000 2.9229
Dy 9.4495 0.0000 5.7347
Y -1.0376 0.0000 2.8611
Y 3.1657 0.0000 5.7637
Y 11.5271 0.0000 2.8939
Y 15.7304 0.0000 5.7964
Th 9.4429 0.0000 0.0000
```

Results
**Space group**: No. 12
**Crystal system**: monoclinic
**D(E_F)**: 12.90 states/eV/cell

| no. | formation energy from the elements (eV/f.u.) | spin magnetization (μB/f.u.) |
| --- | --- | --- |
| 1 | 1.68 | 0.00 |
| 2 | 0.02 | 0.00 |